A PBEsol-optimized structure of Li2CaTa, computed with meta-GGA SCAN.

The value obtained for the formation energy is 67.32 kJ/mol of atoms. The value obtained for the energy relative to the lowest polymorph listed for this composition is 0.0799 eV per atom. The value obtained for the total energy is -0.7188 hartree per atom.

Lattice parameters (Å, degrees): 6.201 9.551 2.747 90.00 90.00 90.00
Element x y z (fractional)
Li 0.250 0.250 0.000
Li 0.250 0.750 0.000
Li 0.750 0.250 0.000
Li 0.750 0.750 0.000
Ca 0.000 0.000 0.500
Ca 0.500 0.500 0.500
Ta 0.000 0.500 0.500
Ta 0.500 0.000 0.500